Computed, not measured: Cr3IrI after structural relaxation at the GGA-PBE level of DFT.

The space group is Pm-3m (No. 221) and the conventional cell measures 4.8877, 4.8877 and 4.8877 Å, with angles of 90.00, 90.00 and 90.00 degrees. The distinct sites, in fractional coordinates, are Cr at (0.0000, 0.0000, 0.5000), Ir at (0.0000, 0.0000, 0.0000) and I at (0.5000, 0.5000, 0.5000).

Its energy relative to the elements, uncorrected is 5.12 eV per formula unit. The value obtained for the energy above the most stable polymorph in this dataset is 0 meV/atom. The value obtained for the final energy is -6.83 eV/atom. As for the volume: 117 Å³/f.u. The density of states at the Fermi level comes out at 5.93 states/eV/f.u.